## Li2Mg2Zn2Pb (PBE)

Data for crystalline Li2Mg2Zn2Pb at its relaxed geometry.

abc: 4.5547 5.3512 6.1895
angles: 87.48 90.00 115.19
Last column: nearest neighbours and their distance in Å.
Sites, in units of the cell vectors:
1 Mg 0.2991 0.5981 0.8154  3 Zn 2.86-2.88, 3 Li 2.94-3.14, 1 Pb 3.06
2 Mg 0.7009 0.4019 0.1846  3 Zn 2.86-2.88, 3 Li 2.94-3.14, 1 Pb 3.06
3 Li 0.4044 0.8088 0.3145  3 Zn 2.73-2.74, 1 Mg 2.94, 1 Li 3.02
4 Li 0.5956 0.1912 0.6855  3 Zn 2.73-2.74, 1 Mg 2.94, 1 Li 3.02
5 Pb 0.0000 0.0000 0.0000  6 Mg 3.06-3.24, 2 Zn 3.09, 4 Li 3.11
6 Zn 0.1300 0.2601 0.4460  1 Zn 2.57, 3 Li 2.73-2.74, 3 Mg 2.86-2.88
7 Zn 0.8700 0.7399 0.5540  1 Zn 2.57, 3 Li 2.73-2.74, 3 Mg 2.86-2.88

Results
As for the symmetry: No. 12. As for the density of states at the Fermi level: 0.184 states/eV/atom. As for the formation energy: -0.120 eV/atom.



## AcYOs (PBE)

Data for crystalline AcYOs at its relaxed geometry.

abc: 4.9884 4.9884 4.9884
angles: 60.00 60.00 60.00
Last column: nearest neighbours and their distance in Å.
Sites, in units of the cell vectors:
1 Os 0.2500 0.2500 0.2500  4 Ac 3.05, 4 Y 3.05
2 Ac 0.5000 0.5000 0.5000  4 Os 3.05
3 Y 0.0000 0.0000 0.0000  4 Os 3.05

Results
The value obtained for the relative energy among the computed polymorphs is 0.0000 eV/atom. As for the symmetry: No. 216. As for the density of states at the Fermi level: 0.913 states/eV/atom. As for the formation energy: -0.053 eV/atom.



Question: What is the formula in the first record?
Answer: Li2Mg2Zn2Pb